A plane-wave DFT calculation with PBE-GGA was carried out for crystalline Cd2RuW at its relaxed geometry.

Calculated values
Size of the total moment   1.06 μB/f.u.
E_tot   -0.398 Ry/atom
ΔH_f (0 K)   58 kJ/mol of atoms
Calculated density   12.10 g cm⁻³
Volume   17.5 A^3/atom
Distance to the lowest polymorph of the same formula   421 meV per atom

Unit cell a=2.7875 b=2.7875 c=9.5293 alpha=90.00 beta=90.00 gamma=109.15
Last column: nearest neighbours and their distance in Å.
Fractional coordinates of all 4 atoms:
Ru 0.5000 0.5000 0.2500  4 Ru 2.79, 4 Cd 2.82
W 0.5000 0.5000 0.7500  4 W 2.79, 4 Cd 2.94
Cd 0.0000 0.0000 0.4926  4 Cd 2.79, 2 Ru 2.82, 2 W 2.94
Cd 0.0000 0.0000 0.0074  4 Cd 2.79, 2 Ru 2.82, 2 W 2.94


A plane-wave DFT calculation with PBE-GGA was carried out for crystalline CdRuW2 at its relaxed geometry.

Calculated values
Size of the total moment   0.00 μB/f.u.
E_tot   -0.625 Ry/atom
ΔH_f (0 K)   51 kJ/mol of atoms
Calculated density   14.84 g cm⁻³
Volume   16.3 A^3/atom

Unit cell a=5.1525 b=5.1525 c=5.1525 alpha=136.03 beta=136.03 gamma=63.93
Last column: nearest neighbours and their distance in Å.
Fractional coordinates of all 4 atoms:
W 0.5000 0.5000 0.0000  4 W 2.73, 4 Ru 2.91, 4 Cd 2.91
W 0.0000 0.0000 0.0000  4 W 2.73, 4 Cd 2.91, 4 Ru 2.91
Cd 0.2500 0.7500 0.5000  4 Ru 2.73, 8 W 2.91
Ru 0.7500 0.2500 0.5000  4 Cd 2.73, 8 W 2.91


A plane-wave DFT calculation with PBE-GGA was carried out for crystalline Cd2RuW at its relaxed geometry.

Calculated values
Size of the total moment   1.38 μB/f.u.
E_tot   -0.381 Ry/atom
ΔH_f (0 K)   80 kJ/mol of atoms
Calculated density   11.97 g cm⁻³
Volume   17.7 A^3/atom
Distance to the lowest polymorph of the same formula   650 meV per atom

Unit cell a=4.9949 b=4.9949 c=2.8336 alpha=90.00 beta=90.00 gamma=90.00
Last column: nearest neighbours and their distance in Å.
Fractional coordinates of all 4 atoms:
Ru 0.5000 0.0000 0.5000  2 Ru 2.83, 8 Cd 2.87
Cd 0.5000 0.5000 0.0000  2 Cd 2.83, 4 W 2.87, 4 Ru 2.87
W 0.0000 0.5000 0.5000  2 W 2.83, 8 Cd 2.87
Cd 0.0000 0.0000 0.0000  2 Cd 2.83, 4 W 2.87, 4 Ru 2.87


A plane-wave DFT calculation with PBE-GGA was carried out for crystalline CdRuW2 at its relaxed geometry.

Calculated values
Size of the total moment   0.00 μB/f.u.
E_tot   -0.639 Ry/atom
ΔH_f (0 K)   32 kJ/mol of atoms
Calculated density   14.51 g cm⁻³
Volume   16.6 A^3/atom

Unit cell a=2.8340 b=2.8340 c=8.2817 alpha=90.00 beta=90.00 gamma=90.00
Last column: nearest neighbours and their distance in Å.
Fractional coordinates of all 4 atoms:
W 0.0000 0.0000 0.9807  4 Ru 2.65, 8 W 2.83-2.91
Ru 0.5000 0.5000 0.7718  4 W 2.65, 4 Ru 2.83, 4 Cd 2.94
Cd 0.0000 0.0000 0.5120  4 Cd 2.83, 4 Ru 2.94, 4 W 3.04
W 0.5000 0.5000 0.2355  8 W 2.83-2.91, 4 Cd 3.04


A plane-wave DFT calculation with PBE-GGA was carried out for crystalline CdRuW2 at its relaxed geometry.

Calculated values
Size of the total moment   0.00 μB/f.u.
E_tot   -0.634 Ry/atom
ΔH_f (0 K)   38 kJ/mol of atoms
Calculated density   14.78 g cm⁻³
Volume   16.3 A^3/atom

Unit cell a=4.1379 b=2.8100 c=6.2768 alpha=63.49 beta=90.00 gamma=90.00
Last column: nearest neighbours and their distance in Å.
Fractional coordinates of all 4 atoms:
Ru 0.5000 0.7500 0.7500  8 W 2.81, 2 Cd 2.81, 2 Ru 2.81
W 0.0000 0.0238 0.9772  3 W 2.55-2.81, 4 Ru 2.81
Cd 0.5000 0.2500 0.2500  2 Ru 2.81, 2 Cd 2.81, 8 W 2.93-2.94
W 0.0000 0.4762 0.5228  3 W 2.55-2.81, 4 Ru 2.81


A plane-wave DFT calculation with PBE-GGA was carried out for crystalline CdRuW3 at its relaxed geometry.

Calculated values
Size of the total moment   0.00 μB/f.u.
E_tot   -0.587 Ry/atom
ΔH_f (0 K)   176 kJ/mol of atoms
Calculated density   12.04 g cm⁻³
Volume   21.1 A^3/atom
Distance to the lowest polymorph of the same formula   0 meV per atom

Unit cell a=4.7247 b=4.7247 c=4.7247 alpha=90.00 beta=90.00 gamma=90.00
Last column: nearest neighbours and their distance in Å.
Fractional coordinates of all 5 atoms:
W 0.0000 0.5000 0.0000  2 Ru 2.36
W 0.0000 0.0000 0.5000  2 Ru 2.36
W 0.5000 0.0000 0.0000  2 Ru 2.36
Cd 0.5000 0.5000 0.5000  12 W 3.34
Ru 0.0000 0.0000 0.0000  6 W 2.36


Q: Which value of calculated density does entry 1 give?
A: 12.10 g cm⁻³


Q: size of the total moment of number 4 (CdRuW2)?
A: 0.00 μB/f.u.


Q: Look up the ΔH_f (0 K) of the sixth one.
A: 176 kJ/mol of atoms